No. 1
PBE LiFe2Cl, relaxed; offset from the most stable computed form = 15.22 kcal/mol of atoms; uncorrected formation energy = 0.477 eV/atom
1.0
-3.6478 2.6840 -1.0825
-1.7791 -1.3708 -4.0789
1.0785 -2.3601 3.8664
Cl Li Fe
1 1 2
Cartesian
-2.6414 0.4903 0.1015
-2.7135 0.6566 -2.5807
0.0000 0.0000 0.0000
-1.7071 -1.5371 -1.3967


No. 2
PBE HoPd2Pb, relaxed; DFT total energy = -21.10 eV per formula unit
1.0
-0.1282 3.2429 -1.9316
-1.0272 -2.3680 -3.9074
-4.5661 0.3927 0.9624
Ho Pd Pb
1 2 1
Cartesian
-0.0641 1.6214 -0.9658
-2.2831 0.1964 0.4812
-0.5136 -1.1840 -1.9537
-2.8608 0.6338 -2.4383


No. 3
PBE Pm8Nd6Sn, relaxed; DFT total energy = -70.31 eV per formula unit
1.0
6.6935 0.0000 0.0000
0.0000 8.1810 -4.7233
0.0000 0.0000 9.4466
Nd Pm Sn
6 8 1
Cartesian
2.2234 4.5587 3.4900
2.2234 2.8792 6.9262
4.4702 3.6223 1.2333
4.4701 7.4379 0.9696
4.4701 5.3018 -2.2029
2.2234 0.7431 3.7537
5.4850 0.3204 2.3269
5.4850 6.0056 3.8373
5.4850 1.8549 8.0057
1.2085 2.1754 0.8860
5.8202 2.7270 4.7233
1.2085 7.8606 2.3964
1.2085 6.3261 -3.2824
0.8733 5.4540 0.0000
3.3468 0.0000 0.0000


Total magnetization in μB per formula unit, matching the order above: 5.4; 0.0; 0.0